1.
First-principles (GGA-PBE) data for Pu2PaSe4 after structural relaxation, as listed in Alexandria.

It has space group Cmcm (No. 63), with a = 4.018 Å, b = 13.625 Å, c = 13.708 Å, α = 90.00°, β = 90.00° and γ = 90.00°. The distinct sites, in fractional coordinates, are Pu at (0.000, 0.134, 0.067), Pa at (0.000, 0.379, 0.250), Se at (0.000, 0.031, 0.250), Se at (0.000, 0.224, 0.628) and Se at (0.000, 0.500, 0.000).

As for the density of states at the Fermi level: 21.3 states/eV/f.u. Its total energy is -8.85 eV per atom. As for the volume: 187.6 Å³/f.u. The calculation puts the total magnetization at 12.747 μB per formula unit.

***

2.
First-principles (GGA-PBE) data for Pu3PaSe6 after structural relaxation, as listed in Alexandria.

It has space group Cmc2_1 (No. 36), with a = 11.213 Å, b = 13.980 Å, c = 7.142 Å, α = 90.00°, β = 90.00° and γ = 90.00°. The distinct sites, in fractional coordinates, are Pu at (0.000, 0.094, 0.000), Pu at (0.186, 0.398, 0.107), Pa at (0.000, 0.338, 0.613), Se at (0.000, 0.265, 0.258), Se at (0.000, 0.493, 0.870), Se at (0.166, 0.034, 0.298) and Se at (0.167, 0.237, 0.816).

As for the density of states at the Fermi level: 39.9 states/eV/f.u. Its total energy is -8.66 eV per atom. As for the volume: 279.9 Å³/f.u. The calculation puts the total magnetization at 6.505 μB per formula unit.

***

3.
First-principles (GGA-PBE) data for PuPa2Se4 after structural relaxation, as listed in Alexandria.

It has space group I-42d (No. 122), with a = 8.636 Å, b = 8.636 Å, c = 8.691 Å, α = 90.00°, β = 90.00° and γ = 90.00°. The distinct sites, in fractional coordinates, are Pu at (0.000, 0.000, 0.000), Pa at (0.122, 0.750, 0.625) and Se at (0.077, 0.674, 0.951).

As for the density of states at the Fermi level: 15.8 states/eV/f.u. Its total energy is -8.11 eV per atom. As for the volume: 162.0 Å³/f.u. The calculation puts the total magnetization at 7.724 μB per formula unit.

***

4.
First-principles (GGA-PBE) data for Pu2Pa2Se5 after structural relaxation, as listed in Alexandria.

It has space group Cmce (No. 64), with a = 14.664 Å, b = 7.714 Å, c = 7.774 Å, α = 90.00°, β = 90.00° and γ = 90.00°. The distinct sites, in fractional coordinates, are Pu at (0.198, 0.000, 0.000), Pa at (0.000, 0.147, 0.350), Se at (0.000, 0.000, 0.000) and Se at (0.138, 0.159, 0.655).

As for the density of states at the Fermi level: 19.9 states/eV/f.u. Its total energy is -8.61 eV per atom. As for the volume: 219.9 Å³/f.u. The calculation puts the total magnetization at 15.947 μB per formula unit.

***

- Number 1 is which compound?
  Pu2PaSe4